# 1
Crystalline Nd2ErTmTh at its relaxed geometry. Source: the Alexandria database, functional GGA-PBE.

As for the magnetization: 0.00 μB per atom. Its density of states at the Fermi level is 13.74 states/eV/cell. Its energy relative to the elements is 0.311 eV/atom. The crystal system is monoclinic.

The structure belongs to space group P2/c (No. 13); the cell edges are 8.479, 6.336 and 6.394 Å and the angles 90.00°, 90.27° and 90.00°. Symmetry generates all atoms from Nd at (0.191, 0.216, 0.251), Er at (0.500, 0.500, 0.000), Tm at (0.000, 0.303, 0.750) and Th at (0.500, 0.054, 0.750).

***

# 2
Crystalline Nd2Er5TmTh at its relaxed geometry. Source: the Alexandria database, functional GGA-PBE.

As for the magnetization: 0.00 μB per atom. Its density of states at the Fermi level is 42.95 states/eV/cell. Its energy relative to the elements is 0.299 eV/atom. The crystal system is tetragonal.

The structure belongs to space group I4/mcm (No. 140); the cell edges are 8.668, 8.668 and 15.331 Å and the angles 90.00°, 90.00° and 90.00°. Symmetry generates all atoms from Nd at (0.116, 0.384, 0.000), Er at (0.000, 0.000, 0.000), Er at (0.213, 0.287, 0.360), Tm at (0.000, 0.500, 0.250) and Th at (0.000, 0.000, 0.250).

***

# 3
Crystalline NdEr2Tm5Th at its relaxed geometry. Source: the Alexandria database, functional GGA-PBE.

As for the magnetization: 0.00 μB per atom. Its density of states at the Fermi level is 46.97 states/eV/cell. Its energy relative to the elements is 0.320 eV/atom. The crystal system is tetragonal.

The structure belongs to space group I4/mcm (No. 140); the cell edges are 8.721, 8.721 and 14.856 Å and the angles 90.00°, 90.00° and 90.00°. Symmetry generates all atoms from Nd at (0.000, 0.500, 0.250), Er at (0.115, 0.385, 0.000), Tm at (0.000, 0.000, 0.000), Tm at (0.207, 0.293, 0.365) and Th at (0.000, 0.000, 0.250).

***

# 4
Crystalline NdErTmTh2 at its relaxed geometry. Source: the Alexandria database, functional GGA-PBE.

As for the magnetization: 0.00 μB per atom. Its density of states at the Fermi level is 28.07 states/eV/cell. Its energy relative to the elements is 0.432 eV/atom. The crystal system is orthorhombic.

The structure belongs to space group Cmcm (No. 63); the cell edges are 6.652, 15.646 and 6.654 Å and the angles 90.00°, 90.00° and 90.00°. Symmetry generates all atoms from Nd at (0.000, 0.153, 0.250), Er at (0.000, 0.257, 0.750), Tm at (0.000, 0.349, 0.250) and Th at (0.247, 0.500, 0.000).

***

Q: What is the magnetization in the third record?
A: 0.00 μB per atom